[1]
AlBiSe2N: optimized geometry, PBE.

```
5
Lattice="5.219 0.000 0.000 0.000 5.219 0.000 0.000 0.000 3.630" Properties=species:S:1:pos:R:3 pbc="T T T"
Al 0.000 0.000 0.000
Bi 2.609 2.609 1.815
Se 0.000 2.609 0.000
Se 2.609 0.000 0.000
N 0.000 0.000 1.815
```

The calculation puts the formation energy without anion corrections at 0.0775 eV per atom. Its offset from the most stable computed form is 0.000 eV per atom.

---

[2]
Hg2P: optimized geometry, PBE.

```
6
Lattice="8.596 -1.602 0.000 8.596 1.602 0.000 -2.110 0.000 5.689" Properties=species:S:1:pos:R:3 pbc="T T T"
Hg 0.000 0.000 0.000
Hg -0.997 0.000 2.866
Hg 4.567 0.000 3.284
Hg 10.603 0.000 2.339
P 5.012 0.000 0.230
P 10.145 0.000 5.421
```

Its offset from the most stable computed form is 0.000 eV per atom. As for the calculated formation energy: 0.3 eV per formula unit.

---

[3]
AsRu: optimized geometry, PBE.

```
8
Lattice="6.393 0.000 0.000 0.000 6.393 0.000 0.000 0.000 4.156" Properties=species:S:1:pos:R:3 pbc="T T T"
As 1.323 1.323 0.000
As 1.873 4.519 2.078
As 4.519 1.873 2.078
As 5.070 5.070 0.000
Ru 1.049 5.343 0.000
Ru 2.147 2.147 2.078
Ru 4.246 4.246 2.078
Ru 5.343 1.049 0.000
```

As for the calculated formation energy: 0.5 eV per formula unit.

---

Number 1: spin magnetization 0.00 μB per cell, DOS(E_F) 5.87 states/eV/f.u.. Number 2: spin magnetization 0.00 μB per cell, DOS(E_F) 0.27 states/eV/f.u.. Number 3: spin magnetization 0.00 μB per cell, DOS(E_F) 1.73 states/eV/f.u..